## Cu2Hg (PBE)

Data for a relaxed Cu2Hg crystal.

Cell lengths 2.835, 2.835, 21.864 Å; angles 90.00, 90.00, 120.00 degrees
Atoms (fractional coordinates):
Cu: 0.000 0.000 0.054
Cu: 0.667 0.333 0.393
Cu: 0.333 0.667 0.715
Cu: 0.667 0.333 0.285
Cu: 0.000 0.000 0.946
Cu: 0.333 0.667 0.607
Hg: 0.333 0.667 0.838
Hg: 0.000 0.000 0.500
Hg: 0.667 0.333 0.162

## Properties
As for the space group: P-3m1. For the total energy, the calculation gives -2.35 eV per atom. The formation energy comes out at 0.481 eV per atom. As for the magnetic moment: 0.00 Bohr magnetons per cell.


## Cu3Hg4 (PBE)

Data for a relaxed Cu3Hg4 crystal.

Cell lengths 12.677, 12.677, 12.677 Å; angles 165.50, 165.50, 20.57 degrees
Atoms (fractional coordinates):
Hg: 0.840 0.840 0.000
Hg: 0.568 0.568 0.000
Hg: 0.160 0.160 0.000
Hg: 0.432 0.432 0.000
Cu: 0.274 0.274 0.000
Cu: 0.726 0.726 0.000
Cu: 0.000 0.000 0.000

## Properties
As for the space group: I4/mmm. For the total energy, the calculation gives -1.74 eV per atom. The formation energy comes out at 0.185 eV per atom. As for the magnetic moment: 0.00 Bohr magnetons per cell.